1.
! PBE Th3BiN3, optimized geometry; values from VASP
! Formation energy without anion corrections (eV/atom): -1.30
! Crystal system: hexagonal
&SYSTEM
  ibrav = 0, nat = 14, ntyp = 3
/
ATOMIC_SPECIES
Th 232.04 Th.upf
Bi 208.98 Bi.upf
N 14.01 N.upf
CELL_PARAMETERS angstrom
9.136 0.000 0.000
-4.568 7.912 0.000
0.000 0.000 4.484
ATOMIC_POSITIONS crystal
Th 0.065 0.733 0.250
Th 0.267 0.332 0.250
Th 0.332 0.065 0.750
Th 0.668 0.935 0.250
Th 0.733 0.668 0.750
Th 0.935 0.267 0.750
Bi 0.333 0.667 0.750
Bi 0.667 0.333 0.250
N 0.014 0.768 0.750
N 0.232 0.246 0.750
N 0.246 0.014 0.250
N 0.754 0.986 0.750
N 0.768 0.754 0.250
N 0.986 0.232 0.250

2.
! PBE Th2BiN, optimized geometry; values from VASP
! Formation energy without anion corrections (eV/atom): -1.04
! DOS(E_F) (states/eV per cell): 4.4
! Crystal system: monoclinic
&SYSTEM
  ibrav = 0, nat = 8, ntyp = 3
/
ATOMIC_SPECIES
Th 232.04 Th.upf
Bi 208.98 Bi.upf
N 14.01 N.upf
CELL_PARAMETERS angstrom
3.344 -3.344 0.000
3.344 3.344 0.000
-0.012 0.000 9.231
ATOMIC_POSITIONS crystal
Th 0.249 0.249 0.662
Th 0.250 0.750 0.000
Th 0.750 0.250 0.000
Th 0.751 0.751 0.338
Bi 0.251 0.251 0.297
Bi 0.749 0.749 0.703
N 0.250 0.250 0.913
N 0.750 0.750 0.087

3.
! PBE Th4Bi2N, optimized geometry; values from VASP
! Formation energy without anion corrections (eV/atom): -0.71
! DOS(E_F) (states/eV per cell): 5.3
! Crystal system: tetragonal
&SYSTEM
  ibrav = 0, nat = 7, ntyp = 3
/
ATOMIC_SPECIES
Th 232.04 Th.upf
Bi 208.98 Bi.upf
N 14.01 N.upf
CELL_PARAMETERS angstrom
-2.437 2.437 8.429
2.437 -2.437 8.429
2.437 2.437 -8.429
ATOMIC_POSITIONS crystal
Th 0.000 0.500 0.500
Th 0.158 0.158 0.000
Th 0.500 0.000 0.500
Th 0.842 0.842 0.000
Bi 0.355 0.355 0.000
Bi 0.645 0.645 0.000
N 0.000 0.000 0.000

4.
! PBE Th3BiN3, optimized geometry; values from VASP
! Formation energy without anion corrections (eV/atom): -1.42
! DOS(E_F) (states/eV per cell): 3.6
! Crystal system: trigonal
&SYSTEM
  ibrav = 0, nat = 14, ntyp = 3
/
ATOMIC_SPECIES
Th 232.04 Th.upf
Bi 208.98 Bi.upf
N 14.01 N.upf
CELL_PARAMETERS angstrom
3.510 2.027 7.863
-3.510 2.027 7.863
0.000 -4.053 7.863
ATOMIC_POSITIONS crystal
Th 0.048 0.740 0.397
Th 0.260 0.603 0.952
Th 0.397 0.048 0.740
Th 0.603 0.952 0.260
Th 0.740 0.397 0.048
Th 0.952 0.260 0.603
Bi 0.167 0.167 0.167
Bi 0.833 0.833 0.833
N 0.052 0.366 0.698
N 0.302 0.948 0.634
N 0.366 0.698 0.052
N 0.634 0.302 0.948
N 0.698 0.052 0.366
N 0.948 0.634 0.302

5.
! PBE Th2BiN, optimized geometry; values from VASP
! Formation energy without anion corrections (eV/atom): -0.30
! DOS(E_F) (states/eV per cell): 4.0
! Crystal system: tetragonal
&SYSTEM
  ibrav = 0, nat = 4, ntyp = 3
/
ATOMIC_SPECIES
Th 232.04 Th.upf
Bi 208.98 Bi.upf
N 14.01 N.upf
CELL_PARAMETERS angstrom
3.357 0.000 0.000
0.000 3.357 0.000
0.000 0.000 8.085
ATOMIC_POSITIONS crystal
Th 0.000 0.000 0.195
Th 0.000 0.000 0.805
Bi 0.500 0.500 0.500
N 0.500 0.500 0.000

6.
! PBE ThBiN2, optimized geometry; values from VASP
! Formation energy without anion corrections (eV/atom): -0.56
! DOS(E_F) (states/eV per cell): 2.6
! Crystal system: trigonal
&SYSTEM
  ibrav = 0, nat = 4, ntyp = 3
/
ATOMIC_SPECIES
Th 232.04 Th.upf
Bi 208.98 Bi.upf
N 14.01 N.upf
CELL_PARAMETERS angstrom
1.878 1.084 6.914
-1.878 1.084 6.914
0.000 -2.169 6.914
ATOMIC_POSITIONS crystal
Th 0.000 0.000 0.000
Bi 0.500 0.500 0.500
N 0.387 0.387 0.387
N 0.613 0.613 0.613

7.
! PBE ThUBiN2, optimized geometry; values from VASP
! Formation energy without anion corrections (eV/atom): -1.32
! DOS(E_F) (states/eV per cell): 4.0
! Crystal system: tetragonal
&SYSTEM
  ibrav = 0, nat = 5, ntyp = 4
/
ATOMIC_SPECIES
Th 232.04 Th.upf
U 238.03 U.upf
Bi 208.98 Bi.upf
N 14.01 N.upf
CELL_PARAMETERS angstrom
-1.990 1.990 6.553
1.990 -1.990 6.553
1.990 1.990 -6.553
ATOMIC_POSITIONS crystal
Th 0.000 0.000 0.000
U 0.323 0.323 0.000
Bi 0.666 0.666 0.000
N 0.401 0.901 0.500
N 0.901 0.401 0.500

8.
! PBE YThBi2N, optimized geometry; values from VASP
! Formation energy without anion corrections (eV/atom): -0.92
! DOS(E_F) (states/eV per cell): 5.9
! Crystal system: tetragonal
&SYSTEM
  ibrav = 0, nat = 10, ntyp = 4
/
ATOMIC_SPECIES
Y 88.91 Y.upf
Th 232.04 Th.upf
Bi 208.98 Bi.upf
N 14.01 N.upf
CELL_PARAMETERS angstrom
4.221 0.000 0.000
0.000 4.221 0.000
0.000 0.000 15.916
ATOMIC_POSITIONS crystal
Y 0.250 0.250 0.083
Y 0.750 0.750 0.917
Th 0.250 0.250 0.568
Th 0.750 0.750 0.432
Bi 0.250 0.250 0.284
Bi 0.250 0.250 0.873
Bi 0.750 0.750 0.127
Bi 0.750 0.750 0.716
N 0.250 0.750 0.500
N 0.750 0.250 0.500

9.
! PBE TiBiN3, optimized geometry; values from VASP
! Formation energy without anion corrections (eV/atom): 0.34
! DOS(E_F) (states/eV per cell): 3.5
! Crystal system: cubic
&SYSTEM
  ibrav = 0, nat = 5, ntyp = 3
/
ATOMIC_SPECIES
Ti 47.87 Ti.upf
Bi 208.98 Bi.upf
N 14.01 N.upf
CELL_PARAMETERS angstrom
3.988 0.000 0.000
0.000 3.988 0.000
0.000 0.000 3.988
ATOMIC_POSITIONS crystal
Ti 0.000 0.000 0.000
Bi 0.500 0.500 0.500
N 0.000 0.000 0.500
N 0.000 0.500 0.000
N 0.500 0.000 0.000

10.
! PBE TiBi3N, optimized geometry; values from VASP
! Formation energy without anion corrections (eV/atom): 0.61
! DOS(E_F) (states/eV per cell): 3.8
! Crystal system: cubic
&SYSTEM
  ibrav = 0, nat = 5, ntyp = 3
/
ATOMIC_SPECIES
Ti 47.87 Ti.upf
Bi 208.98 Bi.upf
N 14.01 N.upf
CELL_PARAMETERS angstrom
4.884 0.000 0.000
0.000 4.884 0.000
0.000 0.000 4.884
ATOMIC_POSITIONS crystal
Ti 0.000 0.000 0.000
Bi 0.000 0.500 0.500
Bi 0.500 0.000 0.500
Bi 0.500 0.500 0.000
N 0.500 0.500 0.500

11.
! PBE TiBi2N2, optimized geometry; values from VASP
! Formation energy without anion corrections (eV/atom): 0.26
! DOS(E_F) (states/eV per cell): 1.3
! Crystal system: tetragonal
&SYSTEM
  ibrav = 0, nat = 5, ntyp = 3
/
ATOMIC_SPECIES
Ti 47.87 Ti.upf
Bi 208.98 Bi.upf
N 14.01 N.upf
CELL_PARAMETERS angstrom
-2.944 2.944 2.871
2.944 -2.944 2.871
2.944 2.944 -2.871
ATOMIC_POSITIONS crystal
Ti 0.000 0.000 0.000
Bi 0.250 0.750 0.500
Bi 0.750 0.250 0.500
N 0.398 0.398 0.000
N 0.602 0.602 0.000

12.
! PBE Ti4Bi2N, optimized geometry; values from VASP
! Formation energy without anion corrections (eV/atom): -0.58
! DOS(E_F) (states/eV per cell): 8.3
! Crystal system: tetragonal
&SYSTEM
  ibrav = 0, nat = 7, ntyp = 3
/
ATOMIC_SPECIES
Ti 47.87 Ti.upf
Bi 208.98 Bi.upf
N 14.01 N.upf
CELL_PARAMETERS angstrom
-2.117 2.117 7.238
2.117 -2.117 7.238
2.117 2.117 -7.238
ATOMIC_POSITIONS crystal
Ti 0.000 0.500 0.500
Ti 0.138 0.138 0.000
Ti 0.500 0.000 0.500
Ti 0.862 0.862 0.000
Bi 0.347 0.347 0.000
Bi 0.653 0.653 0.000
N 0.000 0.000 0.000

13.
! PBE TiBiN3, optimized geometry; values from VASP
! Formation energy without anion corrections (eV/atom): 1.70
! DOS(E_F) (states/eV per cell): 2.4
! Crystal system: cubic
&SYSTEM
  ibrav = 0, nat = 5, ntyp = 3
/
ATOMIC_SPECIES
Ti 47.87 Ti.upf
Bi 208.98 Bi.upf
N 14.01 N.upf
CELL_PARAMETERS angstrom
4.175 0.000 0.000
0.000 4.175 0.000
0.000 0.000 4.175
ATOMIC_POSITIONS crystal
Ti 0.000 0.000 0.000
Bi 0.500 0.500 0.500
N 0.000 0.500 0.500
N 0.500 0.000 0.500
N 0.500 0.500 0.000

14.
! PBE TiBi3N, optimized geometry; values from VASP
! Formation energy without anion corrections (eV/atom): 1.13
! DOS(E_F) (states/eV per cell): 3.3
! Crystal system: cubic
&SYSTEM
  ibrav = 0, nat = 5, ntyp = 3
/
ATOMIC_SPECIES
Ti 47.87 Ti.upf
Bi 208.98 Bi.upf
N 14.01 N.upf
CELL_PARAMETERS angstrom
5.383 0.000 0.000
0.000 5.383 0.000
0.000 0.000 5.383
ATOMIC_POSITIONS crystal
Ti 0.000 0.000 0.000
Bi 0.000 0.000 0.500
Bi 0.000 0.500 0.000
Bi 0.500 0.000 0.000
N 0.500 0.500 0.500

15.
! PBE TiBiN2, optimized geometry; values from VASP
! Formation energy without anion corrections (eV/atom): -0.34
! DOS(E_F) (states/eV per cell): 3.0
! Crystal system: tetragonal
&SYSTEM
  ibrav = 0, nat = 8, ntyp = 3
/
ATOMIC_SPECIES
Ti 47.87 Ti.upf
Bi 208.98 Bi.upf
N 14.01 N.upf
CELL_PARAMETERS angstrom
-2.654 2.654 4.625
2.654 -2.654 4.625
2.654 2.654 -4.625
ATOMIC_POSITIONS crystal
Ti 0.000 0.000 0.000
Ti 0.750 0.250 0.500
Bi 0.250 0.750 0.500
Bi 0.500 0.500 0.000
N 0.030 0.625 0.905
N 0.375 0.280 0.405
N 0.720 0.125 0.095
N 0.875 0.970 0.595

16.
! PBE Ti6BiN, optimized geometry; values from VASP
! Formation energy without anion corrections (eV/atom): -0.49
! DOS(E_F) (states/eV per cell): 5.4
! Crystal system: trigonal
&SYSTEM
  ibrav = 0, nat = 8, ntyp = 3
/
ATOMIC_SPECIES
Ti 47.87 Ti.upf
Bi 208.98 Bi.upf
N 14.01 N.upf
CELL_PARAMETERS angstrom
4.045 2.335 2.353
-4.045 2.335 2.353
0.000 -4.670 2.353
ATOMIC_POSITIONS crystal
Ti 0.225 0.225 0.605
Ti 0.225 0.605 0.225
Ti 0.395 0.775 0.775
Ti 0.605 0.225 0.225
Ti 0.775 0.395 0.775
Ti 0.775 0.775 0.395
Bi 0.000 0.000 0.000
N 0.500 0.500 0.500

17.
! PBE Ti5Bi2N, optimized geometry; values from VASP
! Formation energy without anion corrections (eV/atom): -0.13
! DOS(E_F) (states/eV per cell): 14.5
! Crystal system: orthorhombic
&SYSTEM
  ibrav = 0, nat = 16, ntyp = 3
/
ATOMIC_SPECIES
Ti 47.87 Ti.upf
Bi 208.98 Bi.upf
N 14.01 N.upf
CELL_PARAMETERS angstrom
2.064 -7.374 0.000
2.064 7.374 0.000
0.000 0.000 11.357
ATOMIC_POSITIONS crystal
Ti 0.093 0.907 0.643
Ti 0.093 0.907 0.857
Ti 0.267 0.733 0.579
Ti 0.267 0.733 0.921
Ti 0.275 0.725 0.250
Ti 0.725 0.275 0.750
Ti 0.733 0.267 0.079
Ti 0.733 0.267 0.421
Ti 0.907 0.093 0.143
Ti 0.907 0.093 0.357
Bi 0.104 0.896 0.105
Bi 0.104 0.896 0.395
Bi 0.896 0.104 0.605
Bi 0.896 0.104 0.895
N 0.206 0.794 0.750
N 0.794 0.206 0.250

18.
! PBE TiBiN2, optimized geometry; values from VASP
! Formation energy without anion corrections (eV/atom): 0.46
! DOS(E_F) (states/eV per cell): 3.1
! Crystal system: trigonal
&SYSTEM
  ibrav = 0, nat = 4, ntyp = 3
/
ATOMIC_SPECIES
Ti 47.87 Ti.upf
Bi 208.98 Bi.upf
N 14.01 N.upf
CELL_PARAMETERS angstrom
1.757 1.015 6.432
-1.757 1.015 6.432
0.000 -2.029 6.432
ATOMIC_POSITIONS crystal
Ti 0.000 0.000 0.000
Bi 0.500 0.500 0.500
N 0.098 0.098 0.098
N 0.902 0.902 0.902

19.
! PBE Ti6Bi2N, optimized geometry; values from VASP
! Formation energy without anion corrections (eV/atom): -0.42
! DOS(E_F) (states/eV per cell): 11.9
! Crystal system: cubic
&SYSTEM
  ibrav = 0, nat = 9, ntyp = 3
/
ATOMIC_SPECIES
Ti 47.87 Ti.upf
Bi 208.98 Bi.upf
N 14.01 N.upf
CELL_PARAMETERS angstrom
0.000 4.235 4.235
4.235 0.000 4.235
4.235 4.235 0.000
ATOMIC_POSITIONS crystal
Ti 0.248 0.248 0.752
Ti 0.248 0.752 0.248
Ti 0.248 0.752 0.752
Ti 0.752 0.248 0.248
Ti 0.752 0.248 0.752
Ti 0.752 0.752 0.248
Bi 0.250 0.250 0.250
Bi 0.750 0.750 0.750
N 0.500 0.500 0.500

20.
! PBE TiBi2N2, optimized geometry; values from VASP
! Formation energy without anion corrections (eV/atom): 0.32
! DOS(E_F) (states/eV per cell): 5.2
! Crystal system: tetragonal
&SYSTEM
  ibrav = 0, nat = 10, ntyp = 3
/
ATOMIC_SPECIES
Ti 47.87 Ti.upf
Bi 208.98 Bi.upf
N 14.01 N.upf
CELL_PARAMETERS angstrom
6.125 0.000 0.000
0.000 6.125 0.000
0.000 0.000 4.768
ATOMIC_POSITIONS crystal
Ti 0.000 0.000 0.000
Ti 0.500 0.500 0.000
Bi 0.181 0.319 0.500
Bi 0.319 0.819 0.500
Bi 0.681 0.181 0.500
Bi 0.819 0.681 0.500
N 0.250 0.250 0.000
N 0.250 0.750 0.000
N 0.750 0.250 0.000
N 0.750 0.750 0.000

21.
! PBE Ti6BiN2, optimized geometry; values from VASP
! Formation energy without anion corrections (eV/atom): -0.61
! DOS(E_F) (states/eV per cell): 18.0
! Crystal system: monoclinic
&SYSTEM
  ibrav = 0, nat = 18, ntyp = 3
/
ATOMIC_SPECIES
Ti 47.87 Ti.upf
Bi 208.98 Bi.upf
N 14.01 N.upf
CELL_PARAMETERS angstrom
5.842 -4.312 0.000
5.842 4.312 0.000
-2.456 0.000 5.751
ATOMIC_POSITIONS crystal
Ti 0.021 0.803 0.513
Ti 0.142 0.617 0.033
Ti 0.197 0.979 0.987
Ti 0.222 0.350 0.324
Ti 0.350 0.222 0.824
Ti 0.383 0.858 0.467
Ti 0.617 0.142 0.533
Ti 0.650 0.778 0.176
Ti 0.778 0.650 0.676
Ti 0.803 0.021 0.013
Ti 0.858 0.383 0.967
Ti 0.979 0.197 0.487
Bi 0.431 0.569 0.750
Bi 0.569 0.431 0.250
N 0.013 0.191 0.173
N 0.191 0.013 0.673
N 0.809 0.987 0.327
N 0.987 0.809 0.827

22.
! PBE Ti5Bi3N, optimized geometry; values from VASP
! Formation energy without anion corrections (eV/atom): -0.43
! DOS(E_F) (states/eV per cell): 15.0
! Crystal system: hexagonal
&SYSTEM
  ibrav = 0, nat = 18, ntyp = 3
/
ATOMIC_SPECIES
Ti 47.87 Ti.upf
Bi 208.98 Bi.upf
N 14.01 N.upf
CELL_PARAMETERS angstrom
8.237 0.000 0.000
-4.118 7.133 0.000
0.000 0.000 5.662
ATOMIC_POSITIONS crystal
Ti 0.000 0.197 0.250
Ti 0.000 0.803 0.750
Ti 0.197 0.000 0.250
Ti 0.197 0.197 0.750
Ti 0.333 0.667 0.000
Ti 0.333 0.667 0.500
Ti 0.667 0.333 0.000
Ti 0.667 0.333 0.500
Ti 0.803 0.000 0.750
Ti 0.803 0.803 0.250
Bi 0.000 0.401 0.750
Bi 0.000 0.599 0.250
Bi 0.401 0.000 0.750
Bi 0.401 0.401 0.250
Bi 0.599 0.000 0.250
Bi 0.599 0.599 0.750
N 0.000 0.000 0.000
N 0.000 0.000 0.500

23.
! PBE Ti6Bi2N, optimized geometry; values from VASP
! Formation energy without anion corrections (eV/atom): -0.51
! DOS(E_F) (states/eV per cell): 10.2
! Crystal system: monoclinic
&SYSTEM
  ibrav = 0, nat = 9, ntyp = 3
/
ATOMIC_SPECIES
Ti 47.87 Ti.upf
Bi 208.98 Bi.upf
N 14.01 N.upf
CELL_PARAMETERS angstrom
5.225 -3.013 0.000
5.225 3.013 0.000
-0.003 0.000 4.873
ATOMIC_POSITIONS crystal
Ti 0.159 0.159 0.760
Ti 0.159 0.684 0.761
Ti 0.316 0.841 0.239
Ti 0.684 0.159 0.761
Ti 0.841 0.316 0.239
Ti 0.841 0.841 0.240
Bi 0.333 0.333 0.257
Bi 0.667 0.667 0.743
N 0.000 0.000 0.500